Entry from Alexandria via LeMat-Bulk: a relaxed structure of Ho2FeSbO7 (PBE+U).

Calculated values
The density of states at the Fermi level is 0.000 states/eV per atom. Its energy is -7.37 eV per atom. Its magnetization is 0.4545 μB per atom. The value obtained for the density is 7532 kg/m3.

```
data_Ho2FeSbO7
_chemical_formula_sum 'Ho8 Fe4 Sb4 O28'
_cell_length_a 7.2371
_cell_length_b 7.3465
_cell_length_c 10.2748
_cell_angle_alpha 90.00
_cell_angle_beta 90.00
_cell_angle_gamma 90.00
_symmetry_space_group_name_H-M 'I m m a'
_symmetry_Int_Tables_number 74
_symmetry_space_group_name_Hall '-I 2b 2'
loop_
_atom_site_label
_atom_site_fract_x
_atom_site_fract_y
_atom_site_fract_z
_atom_site_occupancy
Ho1 0.0000 0.0000 0.0000 1
Ho2 0.2500 0.2500 0.2500 1
Fe1 0.2500 0.2500 0.7500 1
Sb1 0.0000 0.0000 0.5000 1
O1 0.0000 0.2500 0.1272 1
O2 0.0000 0.2500 0.4190 1
O3 0.0000 0.2500 0.8409 1
O4 0.2055 0.0346 0.6260 1
```